No. 1
First-principles (GGA-PBE) data for a relaxed CuAg crystal, as listed in the Open Quantum Materials Database.

Space-group type ... Cm, No. 8
DFT formation energy ... 10.0 kJ/mol of atoms
Crystal system ... monoclinic

abc: 4.770 4.770 9.523
angles: 100.83 100.83 33.97
Sites, in units of the cell vectors:
Ag: 0.999 0.999 0.496
Ag: 0.497 0.497 0.753
Ag: 0.495 0.495 0.238
Ag: 0.258 0.258 0.889
Cu: 0.248 0.248 0.372
Cu: 0.744 0.744 0.133
Cu: 0.749 0.749 0.614
Cu: 0.011 0.011 0.005

No. 2
First-principles (GGA-PBE) data for a relaxed CuAg crystal, as listed in the Open Quantum Materials Database.

Space-group type ... Cm, No. 8
DFT formation energy ... 10.5 kJ/mol of atoms
Crystal system ... monoclinic

abc: 11.336 11.336 4.753
angles: 94.40 94.40 14.31
Sites, in units of the cell vectors:
Ag: 0.096 0.096 0.707
Ag: 0.495 0.495 0.491
Ag: 0.702 0.702 0.900
Ag: 0.201 0.201 0.400
Ag: 0.307 0.307 0.103
Cu: 0.593 0.593 0.196
Cu: 0.809 0.809 0.604
Cu: 0.995 0.995 0.999
Cu: 0.901 0.901 0.298
Cu: 0.402 0.402 0.802